Model 1:
First-principles (PBE) data for a relaxed structure of SnPd6Pt8, as listed in the Alexandria database.

The structure belongs to space group R-3 (No. 148, hexagonal axes); the cell edges are 6.8831, 6.8831 and 17.9569 Å and the angles 90.00°, 90.00° and 120.00°. The distinct sites, in fractional coordinates, are Sn at (0.0000, 0.0000, 0.0000), Pd at (0.0402, 0.2531, 0.7113), Pt at (0.0000, 0.0000, 0.1614) and Pt at (0.0401, 0.2544, 0.5587).

Its density of states at the Fermi level is 1.322 states/eV per atom.

***

Model 2:
First-principles (PBE) data for a relaxed structure of SnPd6Pt8, as listed in the Alexandria database.

The structure belongs to space group R-3 (No. 148, hexagonal axes); the cell edges are 7.4621, 7.4621 and 15.9645 Å and the angles 90.00°, 90.00° and 120.00°. The distinct sites, in fractional coordinates, are Sn at (0.0000, 0.0000, 0.0000), Pd at (0.0215, 0.7760, 0.6363), Pt at (0.0000, 0.0000, 0.2300) and Pt at (0.0107, 0.6914, 0.1385).

Its density of states at the Fermi level is 1.555 states/eV per atom.

***

The structure with the most favorable energy is model 1; the runner-up is 69 meV per atom above it.

***

Model 1:
First-principles (PBE) data for a relaxed structure of Sn3PdPt, as listed in the Alexandria database.

The structure belongs to space group Cmmm (No. 65); the cell edges are 8.935, 14.288 and 3.553 Å and the angles 90.00°, 90.00° and 90.00°. The distinct sites, in fractional coordinates, are Sn at (0.000, 0.145, 0.000), Sn at (0.195, 0.392, 0.500), Pd at (0.000, 0.000, 0.500), Pd at (0.000, 0.500, 0.000) and Pt at (0.250, 0.250, 0.000).

Its density of states at the Fermi level is 0.568 states/eV per atom.

***

Model 2:
First-principles (PBE) data for a relaxed structure of Sn3PdPt, as listed in the Alexandria database.

The structure belongs to space group Pm-3m (No. 221); the cell edges are 5.179, 5.179 and 5.179 Å and the angles 90.00°, 90.00° and 90.00°. The distinct sites, in fractional coordinates, are Sn at (0.000, 0.000, 0.500), Pd at (0.500, 0.500, 0.500) and Pt at (0.000, 0.000, 0.000).

Its density of states at the Fermi level is 1.007 states/eV per atom.

***

The structure with the most favorable energy is model 1; the runner-up is 579 meV per atom above it.

***

Model 1:
First-principles (PBE) data for a relaxed structure of SnPdPt6, as listed in the Alexandria database.

The structure belongs to space group P4/mmm (No. 123); the cell edges are 4.010, 4.010 and 8.015 Å and the angles 90.00°, 90.00° and 90.00°. The distinct sites, in fractional coordinates, are Sn at (0.000, 0.000, 0.000), Pd at (0.000, 0.000, 0.500), Pt at (0.000, 0.500, 0.252), Pt at (0.500, 0.500, 0.000) and Pt at (0.500, 0.500, 0.500).

Its density of states at the Fermi level is 1.533 states/eV per atom.

***

Model 2:
First-principles (PBE) data for a relaxed structure of SnPdPt6, as listed in the Alexandria database.

The structure belongs to space group R-3m (No. 166, hexagonal axes); the cell edges are 5.2757, 5.2757 and 21.2967 Å and the angles 90.00°, 90.00° and 120.00°. The distinct sites, in fractional coordinates, are Sn at (0.0000, 0.0000, 0.0000), Pd at (0.0000, 0.0000, 0.5000) and Pt at (0.0034, 0.5017, 0.4363).

Its density of states at the Fermi level is 1.427 states/eV per atom.

***

The structure with the most favorable energy is model 1; the runner-up is 415 meV per atom above it.

***

Model 1:
First-principles (PBE) data for a relaxed structure of SnPd4Pt, as listed in the Alexandria database.

The structure belongs to space group Cmmm (No. 65); the cell edges are 4.120, 11.476 and 4.102 Å and the angles 90.00°, 90.00° and 90.00°. The distinct sites, in fractional coordinates, are Sn at (0.000, 0.000, 0.000), Pd at (0.000, 0.167, 0.500), Pd at (0.000, 0.334, 0.000) and Pt at (0.000, 0.500, 0.500).

Its density of states at the Fermi level is 0.907 states/eV per atom.

***

Model 2:
First-principles (PBE) data for a relaxed structure of SnPd4Pt, as listed in the Alexandria database.

The structure belongs to space group Cmc2_1 (No. 36); the cell edges are 4.118, 19.277 and 5.360 Å and the angles 90.00°, 90.00° and 90.00°. The distinct sites, in fractional coordinates, are Sn at (0.000, 0.142, 0.000), Pd at (0.000, 0.006, 0.538), Pd at (0.000, 0.276, 0.650), Pd at (0.000, 0.311, 0.143), Pd at (0.000, 0.440, 0.297) and Pt at (0.000, 0.415, 0.798).

Its density of states at the Fermi level is 0.840 states/eV per atom.

***

The structure with the most favorable energy is model 1; the runner-up is 214 meV per atom above it.

***

Model 1:
First-principles (PBE) data for a relaxed structure of Sn2Pd3Pt3, as listed in the Alexandria database.

The structure belongs to space group Pmmm (No. 47); the cell edges are 4.050, 4.051 and 8.081 Å and the angles 90.00°, 90.00° and 90.00°. The distinct sites, in fractional coordinates, are Sn at (0.000, 0.000, 0.249), Pd at (0.000, 0.500, 0.000), Pd at (0.500, 0.500, 0.250), Pt at (0.000, 0.500, 0.500), Pt at (0.500, 0.000, 0.000) and Pt at (0.500, 0.000, 0.500).

Its density of states at the Fermi level is 0.269 states/eV per atom.

***

Model 2:
First-principles (PBE) data for a relaxed structure of Sn2Pd3Pt3, as listed in the Alexandria database.

The structure belongs to space group C2/m (No. 12); the cell edges are 12.394, 4.880 and 4.845 Å and the angles 90.00°, 112.91° and 90.00°. The distinct sites, in fractional coordinates, are Sn at (0.249, 0.000, 0.249), Pd at (0.000, 0.000, 0.000), Pd at (0.126, 0.000, 0.625), Pt at (0.000, 0.500, 0.500) and Pt at (0.124, 0.500, 0.124).

Its density of states at the Fermi level is 0.453 states/eV per atom.

***

The structure with the most favorable energy is model 1; the runner-up is 181 meV per atom above it.

***

Model 1:
First-principles (PBE) data for a relaxed structure of Sn2Pd4Pt, as listed in the Alexandria database.

The structure belongs to space group P2_1/m (No. 11); the cell edges are 6.873, 5.511 and 6.996 Å and the angles 90.00°, 109.88° and 90.00°. The distinct sites, in fractional coordinates, are Sn at (0.081, 0.250, 0.367), Sn at (0.338, 0.750, 0.085), Pd at (0.268, 0.250, 0.080), Pd at (0.297, 0.504, 0.732), Pd at (0.500, 0.250, 0.498) and Pt at (0.074, 0.750, 0.292).

Its density of states at the Fermi level is 0.517 states/eV per atom.

***

Model 2:
First-principles (PBE) data for a relaxed structure of Sn2Pd4Pt, as listed in the Alexandria database.

The structure belongs to space group P2_1/c (No. 14); the cell edges are 4.723, 8.916 and 6.156 Å and the angles 90.00°, 94.15° and 90.00°. The distinct sites, in fractional coordinates, are Sn at (0.194, 0.060, 0.338), Pd at (0.005, 0.669, 0.562), Pd at (0.493, 0.707, 0.844) and Pt at (0.500, 0.000, 0.000).

Its density of states at the Fermi level is 0.640 states/eV per atom.

***

The structure with the most favorable energy is model 1; the runner-up is 84 meV per atom above it.

***

Model 1:
First-principles (PBE) data for a relaxed structure of Sn2Pd2Pt, as listed in the Alexandria database.

The structure belongs to space group Ibam (No. 72); the cell edges are 6.599, 10.939 and 5.370 Å and the angles 90.00°, 90.00° and 90.00°. The distinct sites, in fractional coordinates, are Sn at (0.248, 0.162, 0.000), Pd at (0.142, 0.402, 0.000) and Pt at (0.000, 0.000, 0.250).

Its density of states at the Fermi level is 0.353 states/eV per atom.

***

Model 2:
First-principles (PBE) data for a relaxed structure of Sn2Pd2Pt, as listed in the Alexandria database.

The structure belongs to space group Cmc2_1 (No. 36); the cell edges are 4.366, 14.749 and 5.668 Å and the angles 90.00°, 90.00° and 90.00°. The distinct sites, in fractional coordinates, are Sn at (0.000, 0.058, 0.000), Sn at (0.000, 0.283, 0.168), Pd at (0.000, 0.337, 0.636), Pd at (0.000, 0.467, 0.207) and Pt at (0.000, 0.136, 0.478).

Its density of states at the Fermi level is 0.509 states/eV per atom.

***

Model 3:
First-principles (PBE) data for a relaxed structure of Sn2Pd2Pt, as listed in the Alexandria database.

The structure belongs to space group P4/mbm (No. 127); the cell edges are 7.350, 7.350 and 3.440 Å and the angles 90.00°, 90.00° and 90.00°. The distinct sites, in fractional coordinates, are Sn at (0.159, 0.341, 0.000), Pd at (0.138, 0.638, 0.500) and Pt at (0.000, 0.000, 0.000).

Its density of states at the Fermi level is 0.161 states/eV per atom.

***

The structure with the most favorable energy is model 2; the runner-up is 44 meV per atom above it.

***

Model 1:
First-principles (PBE) data for a relaxed structure of SrPdPt, as listed in the Alexandria database.

The structure belongs to space group Imma (No. 74); the cell edges are 5.548, 5.610 and 7.920 Å and the angles 90.00°, 90.00° and 90.00°. The distinct sites, in fractional coordinates, are Sr at (0.000, 0.250, 0.123), Pd at (0.000, 0.000, 0.500) and Pt at (0.250, 0.250, 0.750).

Its density of states at the Fermi level is 0.478 states/eV per atom.

***

Model 2:
First-principles (PBE) data for a relaxed structure of SrPdPt, as listed in the Alexandria database.

The structure belongs to space group P-6m2 (No. 187); the cell edges are 4.4340, 4.4340 and 4.2476 Å and the angles 90.00°, 90.00° and 120.00°. The distinct sites, in fractional coordinates, are Sr at (0.0000, 0.0000, 0.0000), Pd at (0.3333, 0.6667, 0.5000) and Pt at (0.6667, 0.3333, 0.5000).

Its density of states at the Fermi level is 0.311 states/eV per atom.

***

The structure with the most favorable energy is model 1; the runner-up is 140 meV per atom above it.

***

Model 1:
First-principles (PBE) data for a relaxed structure of SrPd2Pt, as listed in the Alexandria database.

The structure belongs to space group Cmmm (No. 65); the cell edges are 5.628, 6.875 and 4.596 Å and the angles 90.00°, 90.00° and 90.00°. The distinct sites, in fractional coordinates, are Sr at (0.000, 0.000, 0.000), Pd at (0.000, 0.306, 0.500) and Pt at (0.000, 0.500, 0.000).

Its density of states at the Fermi level is 0.399 states/eV per atom.

***

Model 2:
First-principles (PBE) data for a relaxed structure of SrPd2Pt, as listed in the Alexandria database.

The structure belongs to space group Fm-3m (No. 225); the cell edges are 6.751, 6.751 and 6.751 Å and the angles 90.00°, 90.00° and 90.00°. The distinct sites, in fractional coordinates, are Sr at (0.000, 0.000, 0.000), Pd at (0.250, 0.250, 0.250) and Pt at (0.000, 0.000, 0.500).

Its density of states at the Fermi level is 0.018 states/eV per atom.

***

The structure with the most favorable energy is model 2; the runner-up is 91 meV per atom above it.

***

Model 1:
First-principles (PBE) data for a relaxed structure of SrPd2Pt, as listed in the Alexandria database.

The structure belongs to space group I-42d (No. 122); the cell edges are 4.658, 4.658 and 18.351 Å and the angles 90.00°, 90.00° and 90.00°. The distinct sites, in fractional coordinates, are Sr at (0.000, 0.000, 0.000), Pd at (0.101, 0.250, 0.625) and Pt at (0.000, 0.000, 0.500).

Its density of states at the Fermi level is 0.747 states/eV per atom.

***

Model 2:
First-principles (PBE) data for a relaxed structure of SrPd2Pt, as listed in the Alexandria database.

The structure belongs to space group R-3m (No. 166, hexagonal axes); the cell edges are 5.5423, 5.5423 and 26.8913 Å and the angles 90.00°, 90.00° and 120.00°. The distinct sites, in fractional coordinates, are Sr at (0.0000, 0.0000, 0.0000), Sr at (0.0000, 0.0000, 0.1402), Pd at (0.0009, 0.5004, 0.9171), Pt at (0.0000, 0.0000, 0.3320) and Pt at (0.0000, 0.0000, 0.5000).

Its density of states at the Fermi level is 0.738 states/eV per atom.

***

The structure with the most favorable energy is model 2; the runner-up is 357 meV per atom above it.